1.
# PBE-GGA RbCaTa2, relaxed
data_RbCaTa2
_chemical_formula_sum 'Rb4 Ca4 Ta8'
_space_group_name_H-M_alt 'I -4 2 d'
_space_group_IT_number 122
_space_group_name_Hall 'I -4 2bw'
_cell_length_a 9.0516
_cell_length_b 9.0516
_cell_length_c 5.5727
_cell_angle_alpha 90.00
_cell_angle_beta 90.00
_cell_angle_gamma 90.00
loop_
_atom_site_label
_atom_site_fract_x
_atom_site_fract_y
_atom_site_fract_z
Rb1 0.0000 0.0000 0.0000
Ca1 0.0000 0.0000 0.5000
Ta1 0.2503 0.2500 0.1250
# Energy relative to the elements, eV/atom: 1.977
# E above lowest polymorph, eV per atom: 0.000


2.
# PBE-GGA RbNa3Ag8, relaxed
data_RbNa3Ag8
_chemical_formula_sum 'Rb3 Na9 Ag24'
_space_group_name_H-M_alt 'R 3 m'
_space_group_IT_number 160
_space_group_name_Hall 'R 3 -2"'
_cell_length_a 5.7479
_cell_length_b 5.7479
_cell_length_c 28.5784
_cell_angle_alpha 90.00
_cell_angle_beta 90.00
_cell_angle_gamma 120.00
loop_
_atom_site_label
_atom_site_fract_x
_atom_site_fract_y
_atom_site_fract_z
Rb1 0.0000 0.0000 0.0000
Na1 0.0000 0.0000 0.1275
Na2 0.0000 0.0000 0.4995
Na3 0.0000 0.0000 0.6201
Ag1 0.0000 0.0000 0.3122
Ag2 0.0000 0.0000 0.8130
Ag3 0.0025 0.5012 0.0660
Ag4 0.1684 0.3368 0.8936
# Energy relative to the elements, eV/atom: -0.035


3.
# PBE-GGA Ni2BRhAu, relaxed
data_Ni2BRhAu
_chemical_formula_sum 'Ni2 B1 Rh1 Au1'
_space_group_name_H-M_alt 'P 4/m m m'
_space_group_IT_number 123
_space_group_name_Hall '-P 4 2'
_cell_length_a 4.6125
_cell_length_b 4.6125
_cell_length_c 3.8551
_cell_angle_alpha 90.00
_cell_angle_beta 90.00
_cell_angle_gamma 90.00
loop_
_atom_site_label
_atom_site_fract_x
_atom_site_fract_y
_atom_site_fract_z
Ni1 0.0000 0.5000 0.0000
B1 0.0000 0.0000 0.5000
Rh1 0.0000 0.0000 0.0000
Au1 0.5000 0.5000 0.5000
# Energy relative to the elements, eV/atom: 1.084
# E above lowest polymorph, eV per atom: 1.079


4.
# PBE-GGA Y8Tm3Pu2, relaxed
data_Y8Tm3Pu2
_chemical_formula_sum 'Y16 Tm6 Pu4'
_space_group_name_H-M_alt 'C 1 2/m 1'
_space_group_IT_number 12
_cell_length_a 20.2260
_cell_length_b 7.3646
_cell_length_c 5.6694
_cell_angle_alpha 90.00
_cell_angle_beta 90.05
_cell_angle_gamma 90.00
loop_
_space_group_symop_operation_xyz
'x,y,z'
'-x,-y,-z'
'-x,y,-z'
'x,-y,z'
'x+1/2,y+1/2,z'
'-x+1/2,-y+1/2,-z'
'-x+1/2,y+1/2,-z'
'x+1/2,-y+1/2,z'
loop_
_atom_site_label
_atom_site_fract_x
_atom_site_fract_y
_atom_site_fract_z
Y1 0.1112 0.2199 0.0001
Y2 0.1414 0.5000 0.4998
Y3 0.1771 0.0000 0.5006
Tm1 0.0000 0.2299 0.5000
Tm2 0.0000 0.5000 0.0000
Pu1 0.2429 0.5000 0.9991
# Energy relative to the elements, eV/atom: 0.293


5.
# PBE-GGA AlPdF3, relaxed
data_AlPdF3
_chemical_formula_sum 'Al1 Pd1 F3'
_space_group_name_H-M_alt 'P m -3 m'
_space_group_IT_number 221
_space_group_name_Hall '-P 4 2 3'
_cell_length_a 3.8513
_cell_length_b 3.8513
_cell_length_c 3.8513
_cell_angle_alpha 90.00
_cell_angle_beta 90.00
_cell_angle_gamma 90.00
loop_
_atom_site_label
_atom_site_fract_x
_atom_site_fract_y
_atom_site_fract_z
Al1 0.0000 0.0000 0.0000
Pd1 0.5000 0.5000 0.5000
F1 0.0000 0.0000 0.5000
# E_form (uncorrected), meV per atom: -1951
# E above lowest polymorph, eV per atom: 0.000


6.
# PBE-GGA RbFe3Os, relaxed
data_RbFe3Os
_chemical_formula_sum 'Rb1 Fe3 Os1'
_space_group_name_H-M_alt 'P m -3 m'
_space_group_IT_number 221
_space_group_name_Hall '-P 4 2 3'
_cell_length_a 4.4906
_cell_length_b 4.4906
_cell_length_c 4.4906
_cell_angle_alpha 90.00
_cell_angle_beta 90.00
_cell_angle_gamma 90.00
loop_
_atom_site_label
_atom_site_fract_x
_atom_site_fract_y
_atom_site_fract_z
Rb1 0.0000 0.0000 0.0000
Fe1 0.0000 0.0000 0.5000
Os1 0.5000 0.5000 0.5000
# Energy relative to the elements, eV/atom: 3.018
# E above lowest polymorph, eV per atom: 1.695


In order of appearance, density of states at the Fermi level = 1.049, 0.160, 1.355, 2.312, 0.679, 1.823 states/eV per atom.